1.
# DyAgHgF6

Crystalline DyAgHgF6 at its relaxed geometry (GGA-PBE, the Alexandria database).

a b c (Å): 5.3699 5.3699 11.0480
angles (deg): 90.00 90.00 90.00
Last column: nearest neighbours and their distance in Å.
Element x y z (fractional)
Dy  0.5000  0.5000  0.8330  6 F 2.19-2.22
Dy  0.0000  0.0000  0.3330  6 F 2.19-2.22
Ag  0.5000  0.5000  0.4991  6 F 2.42-2.57
Ag  0.0000  0.0000  0.9991  6 F 2.42-2.57
Hg  0.5000  0.5000  0.1665  6 F 2.31-2.39
Hg  0.0000  0.0000  0.6665  6 F 2.31-2.39
F  0.1820  0.8180  0.4898  1 Dy 2.22, 1 Hg 2.39, 1 Ag 2.42
F  0.8180  0.1820  0.4898  1 Dy 2.22, 1 Hg 2.39, 1 Ag 2.42
F  0.3180  0.3180  0.9898  1 Dy 2.22, 1 Hg 2.39, 1 Ag 2.42
F  0.6820  0.6820  0.9898  1 Dy 2.22, 1 Hg 2.39, 1 Ag 2.42
F  0.1980  0.8020  0.1878  1 Dy 2.20, 1 Hg 2.31
F  0.8020  0.1980  0.1878  1 Dy 2.20, 1 Hg 2.31
F  0.3020  0.3020  0.6878  1 Dy 2.20, 1 Hg 2.31
F  0.6980  0.6980  0.6878  1 Dy 2.20, 1 Hg 2.31
F  0.7882  0.2118  0.8232  1 Dy 2.19, 1 Hg 2.36
F  0.2118  0.7882  0.8232  1 Dy 2.19, 1 Hg 2.36
F  0.7118  0.7118  0.3232  1 Dy 2.19, 1 Hg 2.36
F  0.2882  0.2882  0.3232  1 Dy 2.19, 1 Hg 2.36

Results
- raw formation energy (eV per atom) = -2.50
- space-group type = P4_2nm, No. 102
- crystal system = tetragonal
- total magnetic moment (μB/cell) = 0.12

2.
# KDyAg2F8

Crystalline KDyAg2F8 at its relaxed geometry (GGA-PBE, the Alexandria database).

a b c (Å): 5.5686 5.5686 6.9140
angles (deg): 113.75 113.75 90.00
Last column: nearest neighbours and their distance in Å.
Element x y z (fractional)
K  0.0000  0.0000  0.0000  8 F 2.59
Dy  0.7500  0.2500  0.5000  8 F 2.31
Ag  0.5000  0.5000  0.0000  8 F 2.42
Ag  0.2500  0.7500  0.5000  8 F 2.40-2.41
F  0.8648  0.8791  0.2720  1 Dy 2.31, 2 Ag 2.41-2.42, 1 F 2.55
F  0.4072  0.3929  0.2720  1 Dy 2.31, 2 Ag 2.41-2.42, 1 F 2.55
F  0.6066  0.5930  0.7276  1 Dy 2.31, 2 Ag 2.40-2.42, 1 F 2.55
F  0.1209  0.1345  0.7276  1 Dy 2.31, 2 Ag 2.40-2.42, 1 F 2.55
F  0.8655  0.3934  0.2724  1 Dy 2.31, 2 Ag 2.40-2.42, 1 F 2.55
F  0.4070  0.8791  0.2724  1 Dy 2.31, 2 Ag 2.40-2.42, 1 F 2.55
F  0.1209  0.5928  0.7280  1 Dy 2.31, 2 Ag 2.41-2.42, 1 F 2.55
F  0.6071  0.1352  0.7280  1 Dy 2.31, 2 Ag 2.41-2.42, 1 F 2.55

Results
- raw formation energy (eV per atom) = -2.32
- space-group type = I-4m2, No. 119
- crystal system = tetragonal
- total magnetic moment (μB/cell) = 2.07

3.
# KDyAgF5

Crystalline KDyAgF5 at its relaxed geometry (GGA-PBE, the Alexandria database).

a b c (Å): 6.4983 6.4983 8.1487
angles (deg): 96.77 96.77 115.17
Last column: nearest neighbours and their distance in Å.
Element x y z (fractional)
K  0.3444  0.6556  0.2500  3 F 2.63-2.89
K  0.6556  0.3444  0.7500  3 F 2.63-2.89
Dy  0.0000  0.0000  0.5000  6 F 2.17-2.22
Dy  0.0000  0.0000  0.0000  6 F 2.17-2.22
Ag  0.6685  0.3315  0.2500  4 F 2.34-2.36
Ag  0.3315  0.6685  0.7500  4 F 2.34-2.36
F  0.0810  0.9190  0.2500  2 Dy 2.22
F  0.9190  0.0810  0.7500  2 Dy 2.22
F  0.9514  0.2935  0.1087  1 Dy 2.17, 1 Ag 2.36
F  0.0486  0.7065  0.8913  1 Dy 2.17, 1 Ag 2.36
F  0.7065  0.0486  0.3913  1 Dy 2.17, 1 Ag 2.36
F  0.2935  0.9514  0.6087  1 Dy 2.17, 1 Ag 2.36
F  0.7597  0.6339  0.4750  1 Dy 2.19, 1 Ag 2.34
F  0.2403  0.3661  0.5250  1 Dy 2.19, 1 Ag 2.34
F  0.3661  0.2403  0.0250  1 Dy 2.19, 1 Ag 2.34
F  0.6339  0.7597  0.9750  1 Dy 2.19, 1 Ag 2.34

Results
- raw formation energy (eV per atom) = -2.99
- space-group type = C2/c, No. 15
- crystal system = monoclinic
- total magnetic moment (μB/cell) = 0.18

4.
# K3DyAg2F9

Crystalline K3DyAg2F9 at its relaxed geometry (GGA-PBE, the Alexandria database).

a b c (Å): 6.3488 6.3488 7.9884
angles (deg): 90.00 90.00 120.00
Last column: nearest neighbours and their distance in Å.
Element x y z (fractional)
K  0.3333  0.6667  0.7376  3 F 2.78
K  0.0000  0.0000  0.0000  12 F 3.17-3.18
K  0.6667  0.3333  0.2624  3 F 2.78
Dy  0.0000  0.0000  0.5000  6 F 2.17
Ag  0.3333  0.6667  0.1707  6 F 2.28-2.34
Ag  0.6667  0.3333  0.8293  6 F 2.28-2.34
F  0.8432  0.1568  0.6657  1 Dy 2.17, 1 Ag 2.34
F  0.8432  0.6864  0.6657  1 Dy 2.17, 1 Ag 2.34
F  0.3136  0.1568  0.6657  1 Dy 2.17, 1 Ag 2.34
F  0.6864  0.8432  0.3343  1 Dy 2.17, 1 Ag 2.34
F  0.1568  0.3136  0.3343  1 Dy 2.17, 1 Ag 2.34
F  0.1568  0.8432  0.3343  1 Dy 2.17, 1 Ag 2.34
F  0.5000  0.0000  0.0000  2 Ag 2.28
F  0.0000  0.5000  0.0000  2 Ag 2.28
F  0.5000  0.5000  0.0000  2 Ag 2.28

Results
- raw formation energy (eV per atom) = -2.57
- space-group type = P-3m1, No. 164
- crystal system = trigonal
- total magnetic moment (μB/cell) = 1.07

5.
# KDyAg2F6

Crystalline KDyAg2F6 at its relaxed geometry (GGA-PBE, the Alexandria database).

a b c (Å): 6.2650 6.2610 6.5056
angles (deg): 61.15 61.12 59.93
Last column: nearest neighbours and their distance in Å.
Element x y z (fractional)
K  0.8103  0.8103  0.5686  6 F 2.62-2.73
Dy  0.3175  0.3174  0.0477  6 F 2.19-2.21
Ag  0.5323  0.5318  0.4033  6 F 2.43-2.67
Ag  0.0285  0.0303  0.9115  3 F 2.37-2.38
F  0.5696  0.2304  0.2427  1 Dy 2.19, 1 Ag 2.44
F  0.2319  0.9560  0.2441  1 Dy 2.19, 1 Ag 2.43
F  0.9567  0.5671  0.2453  1 Dy 2.19, 1 Ag 2.43
F  0.3953  0.6808  0.7848  1 Dy 2.21, 1 Ag 2.37
F  0.6798  0.1409  0.7826  1 Dy 2.21, 1 Ag 2.38
F  0.1396  0.3967  0.7845  1 Dy 2.21, 1 Ag 2.38

Results
- raw formation energy (eV per atom) = -2.59
- space-group type = P1, No. 1
- crystal system = triclinic
- total magnetic moment (μB/cell) = 0.00

6.
# K2DyAgF6

Crystalline K2DyAgF6 at its relaxed geometry (GGA-PBE, the Alexandria database).

a b c (Å): 6.3280 6.5474 8.8377
angles (deg): 90.00 89.08 90.00
Last column: nearest neighbours and their distance in Å.
Element x y z (fractional)
K  0.0150  0.9489  0.2530  5 F 2.67-2.94
K  0.5150  0.5511  0.7530  5 F 2.67-2.94
K  0.9850  0.0511  0.7470  5 F 2.67-2.94
K  0.4850  0.4489  0.2470  5 F 2.67-2.94
Dy  0.5000  0.0000  0.5000  6 F 2.19
Dy  0.0000  0.5000  0.0000  6 F 2.19
Ag  0.5000  0.0000  0.0000  6 F 2.46-2.58
Ag  0.0000  0.5000  0.5000  6 F 2.46-2.58
F  0.2808  0.6842  0.0456  1 Dy 2.19
F  0.7808  0.8158  0.5456  1 Dy 2.19
F  0.7192  0.3158  0.9544  1 Dy 2.19
F  0.2192  0.1842  0.4544  1 Dy 2.19
F  0.3223  0.7268  0.4374  1 Dy 2.19
F  0.8223  0.7732  0.9374  1 Dy 2.19
F  0.6777  0.2732  0.5626  1 Dy 2.19
F  0.1777  0.2268  0.0626  1 Dy 2.19
F  0.8963  0.5477  0.2354  1 Dy 2.19
F  0.3963  0.9523  0.7354  1 Dy 2.19
F  0.1037  0.4523  0.7646  1 Dy 2.19
F  0.6037  0.0477  0.2646  1 Dy 2.19

Results
- raw formation energy (eV per atom) = -2.97
- space-group type = P2_1/c, No. 14
- crystal system = monoclinic
- total magnetic moment (μB/cell) = 0.22

7.
# LiDyAg2F6

Crystalline LiDyAg2F6 at its relaxed geometry (GGA-PBE, the Alexandria database).

a b c (Å): 5.7514 5.9211 8.3500
angles (deg): 90.00 91.21 90.00
Last column: nearest neighbours and their distance in Å.
Element x y z (fractional)
Li  0.5000  0.0000  0.5000  6 F 2.08-2.17
Li  0.0000  0.5000  0.0000  6 F 2.08-2.17
Dy  0.5000  0.0000  0.0000  6 F 2.20-2.21
Dy  0.0000  0.5000  0.5000  6 F 2.20-2.21
Ag  0.0192  0.9497  0.2504  6 F 2.41-2.67
Ag  0.5192  0.5503  0.7504  6 F 2.41-2.67
Ag  0.9808  0.0503  0.7496  6 F 2.41-2.67
Ag  0.4808  0.4497  0.2496  6 F 2.41-2.67
F  0.2862  0.7053  0.0593  1 Li 2.10, 1 Dy 2.20
F  0.7862  0.7947  0.5593  1 Li 2.10, 1 Dy 2.20
F  0.7138  0.2947  0.9407  1 Li 2.10, 1 Dy 2.20
F  0.2138  0.2053  0.4407  1 Li 2.10, 1 Dy 2.20
F  0.2992  0.7161  0.4474  1 Li 2.08, 1 Dy 2.20
F  0.7992  0.7839  0.9474  1 Li 2.08, 1 Dy 2.20
F  0.7008  0.2839  0.5526  1 Li 2.08, 1 Dy 2.20
F  0.2008  0.2161  0.0526  1 Li 2.08, 1 Dy 2.20
F  0.8911  0.5346  0.2464  1 Li 2.17, 1 Dy 2.21, 1 Ag 2.41
F  0.3911  0.9654  0.7464  1 Li 2.17, 1 Dy 2.21, 1 Ag 2.41
F  0.1089  0.4654  0.7536  1 Li 2.17, 1 Dy 2.21, 1 Ag 2.41
F  0.6089  0.0346  0.2536  1 Li 2.17, 1 Dy 2.21, 1 Ag 2.41

Results
- raw formation energy (eV per atom) = -2.59
- space-group type = P2_1/c, No. 14
- crystal system = monoclinic
- total magnetic moment (μB/cell) = 0.29

8.
# DyMgAgF6

Crystalline DyMgAgF6 at its relaxed geometry (GGA-PBE, the Alexandria database).

a b c (Å): 5.1851 5.1851 10.1879
angles (deg): 90.00 90.00 90.00
Last column: nearest neighbours and their distance in Å.
Element x y z (fractional)
Dy  0.5000  0.5000  0.1710  6 F 2.19-2.23
Dy  0.0000  0.0000  0.6710  6 F 2.19-2.23
Mg  0.5000  0.5000  0.8317  6 F 2.02-2.06
Mg  0.0000  0.0000  0.3317  6 F 2.02-2.06
Ag  0.5000  0.5000  0.4991  6 F 2.40-2.53
Ag  0.0000  0.0000  0.9991  6 F 2.40-2.53
F  0.1724  0.8276  0.4909  1 Mg 2.06, 1 Dy 2.23
F  0.8276  0.1724  0.4909  1 Mg 2.06, 1 Dy 2.23
F  0.3276  0.3276  0.9909  1 Mg 2.06, 1 Dy 2.23
F  0.6724  0.6724  0.9909  1 Mg 2.06, 1 Dy 2.23
F  0.2030  0.7970  0.1966  1 Mg 2.03, 1 Dy 2.19
F  0.7970  0.2030  0.1966  1 Mg 2.03, 1 Dy 2.19
F  0.2970  0.2970  0.6966  1 Mg 2.03, 1 Dy 2.19
F  0.7030  0.7030  0.6966  1 Mg 2.03, 1 Dy 2.19
F  0.7736  0.2264  0.8116  1 Mg 2.02, 1 Dy 2.19
F  0.2264  0.7736  0.8116  1 Mg 2.02, 1 Dy 2.19
F  0.7264  0.7264  0.3116  1 Mg 2.02, 1 Dy 2.19
F  0.2736  0.2736  0.3116  1 Mg 2.02, 1 Dy 2.19

Results
- raw formation energy (eV per atom) = -3.20
- space-group type = P4_2nm, No. 102
- crystal system = tetragonal
- total magnetic moment (μB/cell) = 0.00

How do the records compare in calculated density? In the order shown, they have 6.10 5.36 4.42 3.97 4.81 4.20 5.83 4.96 g/cm³.